## Rb3FeAs2O8 (PBE with a Hubbard U)

Data for a relaxed Rb3FeAs2O8 crystal.

POSCAR file:
```
Rb3FeAs2O8
1.0
5.718 0.000 0.000
-2.859 4.952 0.000
0.000 0.000 8.229
O Rb As Fe
8 3 2 1
direct
0.667 0.333 0.917
0.667 0.833 0.353
0.833 0.667 0.647
0.167 0.833 0.353
0.333 0.167 0.647
0.833 0.167 0.647
0.333 0.667 0.083
0.167 0.333 0.353
0.000 0.000 0.000
0.333 0.667 0.750
0.667 0.333 0.250
0.667 0.333 0.711
0.333 0.667 0.289
0.000 0.000 0.500
```

Computed properties:
* symmetry: P-3m1
* DFT total energy: -5.64 eV/atom